The following is a PBE calculation of an optimized crystal structure of Sm3Ho5Ag12, from the Alexandria database.

Unit cell a=14.6400 b=14.6400 c=14.6400 alpha=109.47 beta=109.47 gamma=109.47
Fractional coordinates of all 80 atoms:
1 Sm 0.7500 0.3750 0.1250
2 Sm 0.8750 0.7500 0.1250
3 Sm 0.3750 0.7500 0.6250
4 Sm 0.2500 0.1250 0.3750
5 Sm 0.8750 0.1250 0.2500
6 Sm 0.3750 0.6250 0.2500
7 Sm 0.6250 0.3750 0.7500
8 Sm 0.1250 0.8750 0.7500
9 Sm 0.7500 0.8750 0.6250
10 Sm 0.6250 0.2500 0.3750
11 Sm 0.1250 0.2500 0.8750
12 Sm 0.2500 0.6250 0.8750
13 Ho 0.1250 0.3750 0.2500
14 Ho 0.0000 0.5000 0.0000
15 Ho 0.0000 0.0000 0.0000
16 Ho 0.3750 0.2500 0.1250
17 Ho 0.5000 0.0000 0.5000
18 Ho 0.5000 0.5000 0.0000
19 Ho 0.1250 0.7500 0.3750
20 Ho 0.7500 0.1250 0.8750
21 Ho 0.7500 0.6250 0.3750
22 Ho 0.3750 0.1250 0.7500
23 Ho 0.6250 0.8750 0.2500
24 Ho 0.5000 0.5000 0.5000
25 Ho 0.5000 0.0000 0.0000
26 Ho 0.0000 0.0000 0.5000
27 Ho 0.2500 0.3750 0.6250
28 Ho 0.2500 0.8750 0.1250
29 Ho 0.0000 0.5000 0.5000
30 Ho 0.8750 0.2500 0.6250
31 Ho 0.6250 0.7500 0.8750
32 Ho 0.8750 0.6250 0.7500
33 Ag 0.7302 0.1497 0.0730
34 Ag 0.3428 0.5730 0.4232
35 Ag 0.9270 0.3503 0.2698
36 Ag 0.5730 0.2302 0.1497
37 Ag 0.5804 0.7302 0.6572
38 Ag 0.9270 0.5768 0.1572
39 Ag 0.3428 0.7698 0.4196
40 Ag 0.0768 0.9196 0.1497
41 Ag 0.5768 0.9270 0.6572
42 Ag 0.7302 0.5804 0.1572
43 Ag 0.7698 0.4270 0.3503
44 Ag 0.8428 0.9232 0.0730
45 Ag 0.1497 0.7302 0.5730
46 Ag 0.3503 0.4232 0.0804
47 Ag 0.0804 0.9232 0.3503
48 Ag 0.4196 0.1497 0.5768
49 Ag 0.0804 0.1572 0.2302
50 Ag 0.4270 0.6572 0.0768
51 Ag 0.8428 0.9196 0.2698
52 Ag 0.1497 0.4196 0.0768
53 Ag 0.3503 0.9270 0.7698
54 Ag 0.5768 0.6497 0.4196
55 Ag 0.9232 0.8428 0.5730
56 Ag 0.7698 0.3428 0.9196
57 Ag 0.4232 0.3503 0.5804
58 Ag 0.0768 0.1572 0.4270
59 Ag 0.2302 0.6572 0.0804
60 Ag 0.1572 0.0804 0.7302
61 Ag 0.6497 0.0730 0.2302
62 Ag 0.8503 0.5804 0.9232
63 Ag 0.5730 0.3428 0.9232
64 Ag 0.5804 0.8503 0.4232
65 Ag 0.9196 0.8428 0.7698
66 Ag 0.9196 0.0768 0.6497
67 Ag 0.8503 0.2698 0.4270
68 Ag 0.1572 0.0768 0.9270
69 Ag 0.6497 0.5768 0.9196
70 Ag 0.4232 0.0730 0.3428
71 Ag 0.2698 0.4196 0.8428
72 Ag 0.2302 0.5730 0.6497
73 Ag 0.9232 0.0804 0.8503
74 Ag 0.6572 0.2302 0.5804
75 Ag 0.4270 0.7698 0.8503
76 Ag 0.0730 0.4232 0.8428
77 Ag 0.4196 0.2698 0.3428
78 Ag 0.0730 0.6497 0.7302
79 Ag 0.6572 0.4270 0.5768
80 Ag 0.2698 0.8503 0.9270

**Total moment**: 0.0 μB per formula unit
**N(E_F)**: 1.045 states/eV/atom
**Formation energy from the elements**: 0.231 eV per atom
**SG**: Ia-3d
**Volume**: 30.2 A^3/atom